No. 1
# Bi4PbN2, relaxed, DFT GGA-PBE
data_Bi4PbN2
_symmetry_space_group_name_H-M 'P -1'
_symmetry_Int_Tables_number 2
_cell_length_a 3.520
_cell_length_b 3.526
_cell_length_c 16.575
_cell_angle_alpha 85.74
_cell_angle_beta 89.82
_cell_angle_gamma 60.08
loop_
_symmetry_equiv_pos_as_xyz
'x,y,z'
'-x,-y,-z'
loop_
_atom_site_label
_atom_site_fract_x
_atom_site_fract_y
_atom_site_fract_z
Bi1 0.153 0.201 0.401
Bi2 0.230 0.024 0.813
Pb1 0.000 0.500 0.000
N1 0.194 0.102 0.669
# * DFT total energy: -32.6 eV/f.u.
# * total moment: 0.0 μB per formula unit

No. 2
# Na3NiIr, relaxed, DFT GGA-PBE
data_Na3NiIr
_symmetry_space_group_name_H-M 'P m -3 m'
_symmetry_Int_Tables_number 221
_symmetry_space_group_name_Hall '-P 4 2 3'
_cell_length_a 4.956
_cell_length_b 4.956
_cell_length_c 4.956
_cell_angle_alpha 90.00
_cell_angle_beta 90.00
_cell_angle_gamma 90.00
loop_
_atom_site_label
_atom_site_fract_x
_atom_site_fract_y
_atom_site_fract_z
Na1 0.000 0.000 0.500
Ni1 0.000 0.000 0.000
Ir1 0.500 0.500 0.500
# * DFT total energy: -12.1 eV/f.u.
# * total moment: 2.0 μB per formula unit

No. 3
# MgUAl2Pt2, relaxed, DFT GGA-PBE
data_MgUAl2Pt2
_symmetry_space_group_name_H-M 'P -3 m 1'
_symmetry_Int_Tables_number 164
_symmetry_space_group_name_Hall '-P 3 2"'
_cell_length_a 4.4123
_cell_length_b 4.4123
_cell_length_c 6.4917
_cell_angle_alpha 90.00
_cell_angle_beta 90.00
_cell_angle_gamma 120.00
loop_
_atom_site_label
_atom_site_fract_x
_atom_site_fract_y
_atom_site_fract_z
Mg1 0.0000 0.0000 0.0000
U1 0.0000 0.0000 0.5000
Al1 0.3333 0.6667 0.1918
Pt1 0.3333 0.6667 0.7607
# * DFT total energy: -36.6 eV/f.u.
# * total moment: 2.4 μB per formula unit

No. 4
# Ba2NbW, relaxed, DFT GGA-PBE
data_Ba2NbW
_symmetry_space_group_name_H-M 'F m -3 m'
_symmetry_Int_Tables_number 225
_symmetry_space_group_name_Hall '-F 4 2 3'
_cell_length_a 7.683
_cell_length_b 7.683
_cell_length_c 7.683
_cell_angle_alpha 90.00
_cell_angle_beta 90.00
_cell_angle_gamma 90.00
loop_
_atom_site_label
_atom_site_fract_x
_atom_site_fract_y
_atom_site_fract_z
Ba1 0.250 0.250 0.250
Nb1 0.000 0.000 0.000
W1 0.000 0.000 0.500
# * DFT total energy: -19.5 eV/f.u.
# * total moment: 2.5 μB per formula unit

No. 5
# Pr2LuSn, relaxed, DFT GGA-PBE
data_Pr2LuSn
_symmetry_space_group_name_H-M 'R -3 m'
_symmetry_Int_Tables_number 166
_symmetry_space_group_name_Hall '-R 3 2"'
_cell_length_a 3.5692
_cell_length_b 3.5692
_cell_length_c 36.6095
_cell_angle_alpha 90.00
_cell_angle_beta 90.00
_cell_angle_gamma 120.00
loop_
_atom_site_label
_atom_site_fract_x
_atom_site_fract_y
_atom_site_fract_z
Pr1 0.0000 0.0000 0.0881
Lu1 0.0000 0.0000 0.5000
Sn1 0.0000 0.0000 0.0000
# * DFT total energy: -17.9 eV/f.u.
# * total moment: 0.0 μB per formula unit

No. 6
# Sc2CuPd, relaxed, DFT GGA-PBE
data_Sc2CuPd
_symmetry_space_group_name_H-M 'I -4 2 d'
_symmetry_Int_Tables_number 122
_symmetry_space_group_name_Hall 'I -4 2bw'
_cell_length_a 7.181
_cell_length_b 7.181
_cell_length_c 5.713
_cell_angle_alpha 90.00
_cell_angle_beta 90.00
_cell_angle_gamma 90.00
loop_
_atom_site_label
_atom_site_fract_x
_atom_site_fract_y
_atom_site_fract_z
Sc1 0.249 0.250 0.125
Cu1 0.000 0.000 0.500
Pd1 0.000 0.000 0.000
# * DFT total energy: -22.5 eV/f.u.
# * total moment: 0.0 μB per formula unit

No. 7
# BaNd, relaxed, DFT GGA-PBE
data_BaNd
_symmetry_space_group_name_H-M 'P -6 m 2'
_symmetry_Int_Tables_number 187
_symmetry_space_group_name_Hall 'P -6 2'
_cell_length_a 3.9535
_cell_length_b 3.9535
_cell_length_c 6.5984
_cell_angle_alpha 90.00
_cell_angle_beta 90.00
_cell_angle_gamma 120.00
loop_
_atom_site_label
_atom_site_fract_x
_atom_site_fract_y
_atom_site_fract_z
Ba1 0.0000 0.0000 0.0000
Nd1 0.6667 0.3333 0.5000
# * DFT total energy: -6.2 eV/f.u.
# * total moment: 0.2 μB per formula unit

No. 8
# Na2Sn6Pd, relaxed, DFT GGA-PBE
data_Na2Sn6Pd
_symmetry_space_group_name_H-M 'C 1 2/m 1'
_symmetry_Int_Tables_number 12
_cell_length_a 11.319
_cell_length_b 6.530
_cell_length_c 6.424
_cell_angle_alpha 90.00
_cell_angle_beta 90.01
_cell_angle_gamma 90.00
loop_
_symmetry_equiv_pos_as_xyz
'x,y,z'
'-x,-y,-z'
'-x,y,-z'
'x,-y,z'
'x+1/2,y+1/2,z'
'-x+1/2,-y+1/2,-z'
'-x+1/2,y+1/2,-z'
'x+1/2,-y+1/2,z'
loop_
_atom_site_label
_atom_site_fract_x
_atom_site_fract_y
_atom_site_fract_z
Na1 0.167 0.000 0.354
Sn1 0.086 0.243 0.808
Sn2 0.171 0.500 0.192
Pd1 0.000 0.500 0.500
# * DFT total energy: -33.8 eV/f.u.
# * total moment: 0.0 μB per formula unit

No. 9
# CaTcBi3, relaxed, DFT GGA-PBE
data_CaTcBi3
_symmetry_space_group_name_H-M 'P m -3 m'
_symmetry_Int_Tables_number 221
_symmetry_space_group_name_Hall '-P 4 2 3'
_cell_length_a 5.400
_cell_length_b 5.400
_cell_length_c 5.400
_cell_angle_alpha 90.00
_cell_angle_beta 90.00
_cell_angle_gamma 90.00
loop_
_atom_site_label
_atom_site_fract_x
_atom_site_fract_y
_atom_site_fract_z
Ca1 0.000 0.000 0.000
Tc1 0.500 0.500 0.500
Bi1 0.000 0.500 0.500
# * DFT total energy: -22.7 eV/f.u.
# * total moment: 0.0 μB per formula unit

No. 10
# K2ZnCd4Ag3, relaxed, DFT GGA-PBE
data_K2ZnCd4Ag3
_symmetry_space_group_name_H-M 'P -4 m 2'
_symmetry_Int_Tables_number 115
_cell_length_a 4.745
_cell_length_b 4.745
_cell_length_c 11.962
_cell_angle_alpha 90.00
_cell_angle_beta 90.00
_cell_angle_gamma 90.00
loop_
_symmetry_equiv_pos_as_xyz
'x,y,z'
'y,-x,-z'
'-x,-y,z'
'-y,x,-z'
'-x,y,z'
'-y,-x,-z'
'x,-y,z'
'y,x,-z'
loop_
_atom_site_label
_atom_site_fract_x
_atom_site_fract_y
_atom_site_fract_z
K1 0.000 0.500 0.247
Zn1 0.500 0.500 0.000
Cd1 0.000 0.000 0.500
Cd2 0.000 0.500 0.872
Cd3 0.500 0.500 0.500
Ag1 0.000 0.000 0.000
Ag2 0.000 0.500 0.638
# * DFT total energy: -15.8 eV/f.u.
# * total moment: 0.0 μB per formula unit

No. 11
# TaMnAu3, relaxed, DFT GGA-PBE
data_TaMnAu3
_symmetry_space_group_name_H-M 'P m -3 m'
_symmetry_Int_Tables_number 221
_symmetry_space_group_name_Hall '-P 4 2 3'
_cell_length_a 5.100
_cell_length_b 5.100
_cell_length_c 5.100
_cell_angle_alpha 90.00
_cell_angle_beta 90.00
_cell_angle_gamma 90.00
loop_
_atom_site_label
_atom_site_fract_x
_atom_site_fract_y
_atom_site_fract_z
Ta1 0.000 0.000 0.000
Mn1 0.500 0.500 0.500
Au1 0.000 0.000 0.500
# * DFT total energy: -25.4 eV/f.u.
# * total moment: 4.7 μB per formula unit

No. 12
# AlInIr2, relaxed, DFT GGA-PBE
data_AlInIr2
_symmetry_space_group_name_H-M 'C 1 m 1'
_symmetry_Int_Tables_number 8
_cell_length_a 9.791
_cell_length_b 2.989
_cell_length_c 4.589
_cell_angle_alpha 90.00
_cell_angle_beta 108.16
_cell_angle_gamma 90.00
loop_
_symmetry_equiv_pos_as_xyz
'x,y,z'
'x,-y,z'
'x+1/2,y+1/2,z'
'x+1/2,-y+1/2,z'
loop_
_atom_site_label
_atom_site_fract_x
_atom_site_fract_y
_atom_site_fract_z
Al1 0.000 0.000 0.000
In1 0.230 0.000 0.605
Ir1 0.235 0.500 0.100
Ir2 0.482 0.000 0.495
# * DFT total energy: -25.3 eV/f.u.
# * total moment: 0.0 μB per formula unit